Here is a relaxed structure of CoOsRh2O8 from Alexandria. Energies are from GGA+U.

Unit cell a=6.425 b=6.476 c=6.233 alpha=90.00 beta=90.00 gamma=90.00
Space group Cmmm (No. 65)
Symmetry-distinct sites (fractional):
Co 0.000 0.000 0.000
Os 0.000 0.000 0.500
Rh 0.000 0.500 0.248
O 0.000 0.193 0.265
O 0.196 0.500 0.000
O 0.201 0.500 0.500

- Magnetic moment: 4.59 Bohr magnetons per cell
- Electronic total energy: -6.778 eV per atom